(1)
Compound: TiHN2
Source: the Alexandria database
Functional: SCAN
Structure: PBEsol geometry Values from VASP.

Calculated values
As for the crystal system: tetragonal. As for the magnetic moment: 1.0 μB per formula unit. For the energy above the most stable polymorph in this dataset, the calculation gives 0 meV per atom. The space group is I-42d, No. 122. Its total DFT energy (no corrections) is -149.0 eV per cell.

Structure (Quantum ESPRESSO input):
```
&SYSTEM
  ibrav = 0, nat = 16, ntyp = 3
/
ATOMIC_SPECIES
Ti 47.87 Ti.upf
H 1.01 H.upf
N 14.01 N.upf
CELL_PARAMETERS angstrom
3.877 0.000 0.000
0.000 3.877 0.000
0.000 0.000 9.702
ATOMIC_POSITIONS crystal
Ti 0.000 0.000 0.000
Ti 0.000 0.500 0.250
Ti 0.500 0.000 0.750
Ti 0.500 0.500 0.500
H 0.000 0.000 0.500
H 0.000 0.500 0.750
H 0.500 0.000 0.250
H 0.500 0.500 0.000
N 0.213 0.250 0.625
N 0.250 0.713 0.875
N 0.250 0.787 0.375
N 0.287 0.250 0.125
N 0.713 0.750 0.125
N 0.750 0.213 0.375
N 0.750 0.287 0.875
N 0.787 0.750 0.625
```

---

(2)
Compound: TiHN2
Source: the Alexandria database
Functional: SCAN
Structure: PBEsol geometry Values from VASP.

Calculated values
As for the crystal system: cubic. As for the magnetic moment: 0.0 μB per formula unit. For the energy above the most stable polymorph in this dataset, the calculation gives 252 meV per atom. The space group is Fm-3m, No. 225. Its total DFT energy (no corrections) is -145.0 eV per cell.

Structure (Quantum ESPRESSO input):
```
&SYSTEM
  ibrav = 0, nat = 16, ntyp = 3
/
ATOMIC_SPECIES
Ti 47.87 Ti.upf
H 1.01 H.upf
N 14.01 N.upf
CELL_PARAMETERS angstrom
4.917 0.000 0.000
0.000 4.917 0.000
0.000 0.000 4.917
ATOMIC_POSITIONS crystal
Ti 0.000 0.000 0.000
Ti 0.000 0.500 0.500
Ti 0.500 0.000 0.500
Ti 0.500 0.500 0.000
H 0.000 0.000 0.500
H 0.000 0.500 0.000
H 0.500 0.000 0.000
H 0.500 0.500 0.500
N 0.250 0.250 0.250
N 0.250 0.250 0.750
N 0.250 0.750 0.250
N 0.250 0.750 0.750
N 0.750 0.250 0.250
N 0.750 0.250 0.750
N 0.750 0.750 0.250
N 0.750 0.750 0.750
```

---

(3)
Compound: YTiH2N
Source: the Alexandria database
Functional: SCAN
Structure: PBEsol geometry Values from VASP.

Calculated values
As for the crystal system: tetragonal. As for the magnetic moment: 0.0 μB per formula unit. The space group is P4/mmm, No. 123. Its total DFT energy (no corrections) is -57.4 eV per cell.

Structure (Quantum ESPRESSO input):
```
&SYSTEM
  ibrav = 0, nat = 5, ntyp = 4
/
ATOMIC_SPECIES
Y 88.91 Y.upf
Ti 47.87 Ti.upf
H 1.01 H.upf
N 14.01 N.upf
CELL_PARAMETERS angstrom
3.513 0.000 0.000
0.000 3.513 0.000
0.000 0.000 6.327
ATOMIC_POSITIONS crystal
Y 0.000 0.000 0.000
Ti 0.000 0.000 0.500
H 0.000 0.500 0.000
H 0.500 0.000 0.000
N 0.500 0.500 0.500
```

---

(4)
Compound: Tl2HN2
Source: the Alexandria database
Functional: SCAN
Structure: PBEsol geometry Values from VASP.

Calculated values
As for the crystal system: tetragonal. As for the magnetic moment: 0.0 μB per formula unit. The space group is I4/mmm, No. 139. Its total DFT energy (no corrections) is -317.3 eV per cell.

Structure (Quantum ESPRESSO input):
```
&SYSTEM
  ibrav = 0, nat = 10, ntyp = 3
/
ATOMIC_SPECIES
Tl 204.38 Tl.upf
H 1.01 H.upf
N 14.01 N.upf
CELL_PARAMETERS angstrom
3.722 0.000 0.000
0.000 3.722 0.000
0.000 0.000 10.953
ATOMIC_POSITIONS crystal
Tl 0.000 0.000 0.126
Tl 0.000 0.000 0.874
Tl 0.500 0.500 0.374
Tl 0.500 0.500 0.626
H 0.000 0.000 0.500
H 0.500 0.500 0.000
N 0.000 0.500 0.250
N 0.000 0.500 0.750
N 0.500 0.000 0.250
N 0.500 0.000 0.750
```

---

(5)
Compound: TlHN2
Source: the Alexandria database
Functional: SCAN
Structure: PBEsol geometry Values from VASP.

Calculated values
As for the crystal system: trigonal. As for the magnetic moment: 0.0 μB per formula unit. The space group is R-3m, No. 166. Its total DFT energy (no corrections) is -259.8 eV per cell.

Structure (Quantum ESPRESSO input):
```
&SYSTEM
  ibrav = 0, nat = 12, ntyp = 3
/
ATOMIC_SPECIES
Tl 204.38 Tl.upf
H 1.01 H.upf
N 14.01 N.upf
CELL_PARAMETERS angstrom
3.039 0.000 0.000
-1.519 2.631 0.000
0.000 0.000 17.172
ATOMIC_POSITIONS crystal
Tl 0.000 0.000 0.000
Tl 0.333 0.667 0.667
Tl 0.667 0.333 0.333
H 0.000 0.000 0.500
H 0.333 0.667 0.167
H 0.667 0.333 0.833
N 0.000 0.000 0.151
N 0.000 0.000 0.849
N 0.333 0.667 0.516
N 0.333 0.667 0.818
N 0.667 0.333 0.182
N 0.667 0.333 0.484
```

---

(6)
Compound: ZrTl2HN
Source: the Alexandria database
Functional: SCAN
Structure: PBEsol geometry Values from VASP.

Calculated values
As for the crystal system: tetragonal. As for the magnetic moment: 0.2 μB per formula unit. The space group is P4/mmm, No. 123. Its total DFT energy (no corrections) is -185.3 eV per cell.

Structure (Quantum ESPRESSO input):
```
&SYSTEM
  ibrav = 0, nat = 5, ntyp = 4
/
ATOMIC_SPECIES
Zr 91.22 Zr.upf
Tl 204.38 Tl.upf
H 1.01 H.upf
N 14.01 N.upf
CELL_PARAMETERS angstrom
5.843 0.000 0.000
0.000 5.843 0.000
0.000 0.000 4.017
ATOMIC_POSITIONS crystal
Zr 0.000 0.000 0.000
Tl 0.000 0.500 0.000
Tl 0.500 0.000 0.000
H 0.500 0.500 0.500
N 0.000 0.000 0.500
```

---

(7)
Compound: HWN3
Source: the Alexandria database
Functional: SCAN
Structure: PBEsol geometry Values from VASP.

Calculated values
As for the crystal system: cubic. As for the magnetic moment: 3.9 μB per formula unit. The space group is Pm-3m, No. 221. Its total DFT energy (no corrections) is -95.3 eV per cell.

Structure (Quantum ESPRESSO input):
```
&SYSTEM
  ibrav = 0, nat = 5, ntyp = 3
/
ATOMIC_SPECIES
H 1.01 H.upf
W 183.84 W.upf
N 14.01 N.upf
CELL_PARAMETERS angstrom
3.946 0.000 0.000
0.000 3.946 0.000
0.000 0.000 3.946
ATOMIC_POSITIONS crystal
H 0.000 0.000 0.000
W 0.500 0.500 0.500
N 0.000 0.500 0.500
N 0.500 0.000 0.500
N 0.500 0.500 0.000
```

---

(8)
Compound: Zn2HN
Source: the Alexandria database
Functional: SCAN
Structure: PBEsol geometry Values from VASP.

Calculated values
As for the crystal system: tetragonal. As for the magnetic moment: 0.0 μB per formula unit. The space group is I-42d, No. 122. Its total DFT energy (no corrections) is -157.5 eV per cell.

Structure (Quantum ESPRESSO input):
```
&SYSTEM
  ibrav = 0, nat = 16, ntyp = 3
/
ATOMIC_SPECIES
Zn 65.41 Zn.upf
H 1.01 H.upf
N 14.01 N.upf
CELL_PARAMETERS angstrom
4.314 0.000 0.000
0.000 4.314 0.000
0.000 0.000 9.640
ATOMIC_POSITIONS crystal
Zn 0.237 0.250 0.125
Zn 0.250 0.737 0.375
Zn 0.250 0.763 0.875
Zn 0.263 0.250 0.625
Zn 0.737 0.750 0.625
Zn 0.750 0.237 0.875
Zn 0.750 0.263 0.375
Zn 0.763 0.750 0.125
H 0.000 0.000 0.500
H 0.000 0.500 0.750
H 0.500 0.000 0.250
H 0.500 0.500 0.000
N 0.000 0.000 0.000
N 0.000 0.500 0.250
N 0.500 0.000 0.750
N 0.500 0.500 0.500
```